## AsRu2Cl (PBEsol)

Data for crystalline AsRu2Cl at its relaxed geometry. Values from VASP.

Quantum ESPRESSO input file:
```
&SYSTEM
  ibrav = 0, nat = 4, ntyp = 3
/
ATOMIC_SPECIES
Ru 101.07 Ru.upf
As 74.92 As.upf
Cl 35.45 Cl.upf
CELL_PARAMETERS angstrom
-1.876 1.243 -1.740
1.772 -1.597 -3.051
-3.190 -4.168 2.787
ATOMIC_POSITIONS crystal
Ru 0.043 0.043 0.087
Ru 0.765 0.265 0.530
As 0.462 0.462 0.923
Cl 0.230 0.730 0.461
```

## Properties
Total energy, eV per atom: -6.510
Energy relative to the elements, uncorrected, meV/atom: 355
Magnetization, μB/atom: 0.000

## AsSCl2 (PBEsol)

Data for crystalline AsSCl2 at its relaxed geometry. Values from VASP.

Quantum ESPRESSO input file:
```
&SYSTEM
  ibrav = 0, nat = 4, ntyp = 3
/
ATOMIC_SPECIES
As 74.92 As.upf
S 32.06 S.upf
Cl 35.45 Cl.upf
CELL_PARAMETERS angstrom
-3.042 -0.042 0.803
-0.970 -1.792 2.398
0.061 6.190 6.716
ATOMIC_POSITIONS crystal
As 0.500 0.500 0.500
S 0.000 0.000 0.000
Cl 0.916 0.916 0.251
Cl 0.084 0.084 0.749
```

## Properties
Total energy, eV per atom: -3.065
Energy relative to the elements, uncorrected, meV/atom: 312
Magnetization, μB/atom: 0.000

What did the first record say?
## AsRu2Cl (PBEsol)

Data for crystalline AsRu2Cl at its relaxed geometry. Values from VASP.

Quantum ESPRESSO input file:
```
&SYSTEM
  ibrav = 0, nat = 4, ntyp = 3
/
ATOMIC_SPECIES
Ru 101.07 Ru.upf
As 74.92 As.upf
Cl 35.45 Cl.upf
CELL_PARAMETERS angstrom
-1.876 1.243 -1.740
1.772 -1.597 -3.051
-3.190 -4.168 2.787
ATOMIC_POSITIONS crystal
Ru 0.043 0.043 0.087
Ru 0.765 0.265 0.530
As 0.462 0.462 0.923
Cl 0.230 0.730 0.461
```

## Properties
Total energy, eV per atom: -6.510
Energy relative to the elements, uncorrected, meV/atom: 355
Magnetization, μB/atom: 0.000